# Ce2PmCu2Si2

A geometry-optimized Ce2PmCu2Si2 structure (PBE, Alexandria via LeMat-Bulk).

The formation energy (no corrections) comes out at -0.505 eV/atom. For the volume, the calculation gives 19.90 Å³ per atom.

Lattice parameters (Å, degrees): 4.1787 4.1787 27.6284 90.00 90.00 120.00
Space group R-3m (No. 166, hexagonal axes)
Inequivalent atoms, fractional coordinates:
Ce 0.0000 0.0000 0.1402 x6
Pm 0.0000 0.0000 0.0000 x3
Cu 0.0000 0.0000 0.4061 x6
Si 0.0000 0.0000 0.2611 x6

=====

# CePmCuTc

A geometry-optimized CePmCuTc structure (PBE, Alexandria via LeMat-Bulk).

The value obtained for the formation energy from the elements is -0.01 eV per atom. For the volume, the calculation gives 21.51 Å³ per atom.

Lattice parameters (Å, degrees): 7.008 7.008 7.008 90.00 90.00 90.00
Space group F-43m (No. 216)
Inequivalent atoms, fractional coordinates:
Ce 0.000 0.000 0.000 x4
Pm 0.000 0.000 0.500 x4
Cu 0.250 0.250 0.250 x4
Tc 0.250 0.250 0.750 x4

=====

Please write out number 1 again, unchanged.
# Ce2PmCu2Si2

A geometry-optimized Ce2PmCu2Si2 structure (PBE, Alexandria via LeMat-Bulk).

The formation energy (no corrections) comes out at -0.505 eV/atom. For the volume, the calculation gives 19.90 Å³ per atom.

Lattice parameters (Å, degrees): 4.1787 4.1787 27.6284 90.00 90.00 120.00
Space group R-3m (No. 166, hexagonal axes)
Inequivalent atoms, fractional coordinates:
Ce 0.0000 0.0000 0.1402 x6
Pm 0.0000 0.0000 0.0000 x3
Cu 0.0000 0.0000 0.4061 x6
Si 0.0000 0.0000 0.2611 x6

=====

> Which formula does entry 2 have?

CePmCuTc

=====

> Which value of volume does entry 1 give?

19.90 Å³ per atom